Record 1
Density functional theory data (PBE) for a geometry-optimized PrDyGa4Ir2 structure.

```
PrDyGa4Ir2
1.0
4.2174 0.0000 0.0000
0.0000 7.1330 0.0000
-2.0656 0.0000 5.2187
Pr Dy Ga Ir
1 1 4 2
direct
0.0000 0.0000 0.0000
0.8614 0.5000 0.7221
0.2842 0.2009 0.5644
0.2842 0.7991 0.5644
0.5791 0.3066 0.1625
0.5791 0.6934 0.1625
0.1406 0.5000 0.2878
0.7207 0.0000 0.4362
```

Values from the calculation:
- Volume: 157.0 Å³ per cell
- Final energy: -44.86 eV per cell

Record 2
Density functional theory data (PBE) for a geometry-optimized DyGaSiIr2 structure.

```
DyGaSiIr2
1.0
4.0996 0.0000 0.0000
0.0000 4.0996 0.0000
0.0000 0.0000 10.3565
Dy Ga Si Ir
2 2 2 4
direct
0.2500 0.2500 0.2456
0.7500 0.7500 0.7544
0.2500 0.7500 0.5000
0.7500 0.2500 0.5000
0.2500 0.2500 0.8756
0.7500 0.7500 0.1244
0.2500 0.2500 0.6484
0.2500 0.7500 0.0000
0.7500 0.2500 0.0000
0.7500 0.7500 0.3516
```

Values from the calculation:
- Volume: 174.1 Å³ per cell
- Offset from the most stable computed form: 0.0 kJ/mol of formula units

Record 3
Density functional theory data (PBE) for a geometry-optimized DyGaSiIr2 structure.

```
DyGaSiIr2
1.0
4.1462 0.0000 0.0000
0.0000 4.1462 0.0000
0.0000 0.0000 10.0480
Dy Ga Si Ir
2 2 2 4
direct
0.0000 0.0000 0.0000
0.5000 0.5000 0.5000
0.0000 0.0000 0.3835
0.5000 0.5000 0.8835
0.0000 0.0000 0.6283
0.5000 0.5000 0.1283
0.0000 0.5000 0.2426
0.0000 0.5000 0.7426
0.5000 0.0000 0.2426
0.5000 0.0000 0.7426
```

Values from the calculation:
- Volume: 172.7 Å³ per cell
- Offset from the most stable computed form: 14.4 kJ/mol of formula units

Record 4
Density functional theory data (PBE) for a geometry-optimized TbDyGa2Ir4 structure.

```
TbDyGa2Ir4
1.0
4.3372 0.0000 0.0000
-2.1686 3.7561 0.0000
0.0000 0.0000 9.0239
Tb Dy Ga Ir
1 1 2 4
direct
0.0000 0.0000 0.0000
0.6667 0.3333 0.5000
0.3333 0.6667 0.2503
0.3333 0.6667 0.7497
0.0000 0.0000 0.3355
0.0000 0.0000 0.6645
0.6667 0.3333 0.1662
0.6667 0.3333 0.8338
```

Values from the calculation:
- Volume: 147.0 Å³ per cell
- Offset from the most stable computed form: 0.0 kJ/mol of formula units